Here is Ho3ErAl8 after structural relaxation from Alexandria via LeMat-Bulk. Energies are from PBE-GGA.

Summary:
total magnetization = 0.0000 μB/atom
mass density = 6.062 g cm⁻³
relative energy among the computed polymorphs = 9 meV per atom
calculated total energy = -4.52 eV per atom
E_form = -0.504 eV/atom

Cell: 5.5318 5.5318 9.0748 Å, 90.00 90.00 120.00°
Closest atoms and distances in Å follow each position.
Element x y z (fractional)
1 Ho 0.0000 0.0000 0.0000  12 Al 3.22-3.28, 4 Ho 3.31-3.42
2 Ho 0.0000 0.0000 0.3648  12 Al 3.22-3.27, 1 Ho 3.31, 3 Er 3.42
3 Ho 0.3333 0.6667 0.8646  12 Al 3.22-3.28, 1 Er 3.31, 3 Ho 3.42
4 Er 0.3333 0.6667 0.4998  12 Al 3.22-3.27, 4 Ho 3.31-3.42
5 Al 0.0092 0.5046 0.1825  6 Al 2.69-2.84
6 Al 0.3241 0.1620 0.6819  6 Al 2.69-2.84
7 Al 0.4954 0.5046 0.1825  6 Al 2.69-2.84
8 Al 0.4954 0.9908 0.1825  6 Al 2.69-2.84
9 Al 0.6667 0.3333 0.4324  6 Al 2.80
10 Al 0.6667 0.3333 0.9321  6 Al 2.80
11 Al 0.8380 0.1620 0.6819  6 Al 2.69-2.84
12 Al 0.8380 0.6759 0.6819  6 Al 2.69-2.84

=====

Here is La3Dy2PaAs6 after structural relaxation from Alexandria via LeMat-Bulk. Energies are from PBE-GGA.

Summary:
total magnetization = 0.0000 μB/atom
mass density = 7.331 g cm⁻³
calculated total energy = -6.60 eV per atom
E_form = -1.484 eV/atom

Cell: 7.3119 7.3119 7.3712 Å, 99.50 99.50 120.00°
Closest atoms and distances in Å follow each position.
Element x y z (fractional)
1 La 0.0000 0.0000 0.0000  6 As 3.05-3.10
2 La 0.3317 0.6683 0.0000  6 As 3.05-3.09
3 La 0.6683 0.3317 0.0000  6 As 3.05-3.09
4 Dy 0.1662 0.8338 0.5000  6 As 2.94-2.95
5 Dy 0.8338 0.1662 0.5000  6 As 2.94-2.95
6 Pa 0.5000 0.5000 0.5000  6 As 2.89
7 As 0.0949 0.4227 0.2675  1 Pa 2.89, 2 Dy 2.94-2.95, 3 La 3.05-3.09
8 As 0.2505 0.2505 0.7330  1 Pa 2.89, 2 Dy 2.94, 3 La 3.06-3.10
9 As 0.4227 0.0949 0.2675  1 Pa 2.89, 2 Dy 2.94-2.95, 3 La 3.05-3.09
10 As 0.5773 0.9051 0.7325  1 Pa 2.89, 2 Dy 2.94-2.95, 3 La 3.05-3.09
11 As 0.7495 0.7495 0.2670  1 Pa 2.89, 2 Dy 2.94, 3 La 3.06-3.10
12 As 0.9051 0.5773 0.7325  1 Pa 2.89, 2 Dy 2.94-2.95, 3 La 3.05-3.09

=====

Here is Nd6Tl2Bi after structural relaxation from Alexandria via LeMat-Bulk. Energies are from PBE-GGA.

Summary:
total magnetization = 0.0016 μB/atom
mass density = 8.441 g cm⁻³
calculated total energy = -4.51 eV per atom
E_form = -0.379 eV/atom

Cell: 8.8734 8.8734 4.2790 Å, 90.00 90.00 120.00°
Closest atoms and distances in Å follow each position.
Element x y z (fractional)
1 Nd 0.0000 0.3963 0.0000  4 Tl 3.46, 1 Bi 3.52, 6 Nd 3.59-3.79
2 Nd 0.0000 0.7211 0.5000  2 Tl 3.23, 2 Bi 3.27, 2 Nd 3.59
3 Nd 0.2789 0.2789 0.5000  2 Tl 3.23, 2 Bi 3.27, 2 Nd 3.59
4 Nd 0.3963 0.0000 0.0000  4 Tl 3.46, 1 Bi 3.52, 6 Nd 3.59-3.79
5 Nd 0.6037 0.6037 0.0000  4 Tl 3.46, 1 Bi 3.52, 6 Nd 3.59-3.79
6 Nd 0.7211 0.0000 0.5000  2 Tl 3.23, 2 Bi 3.27, 2 Nd 3.59
7 Tl 0.3333 0.6667 0.5000  9 Nd 3.23-3.46
8 Tl 0.6667 0.3333 0.5000  9 Nd 3.23-3.46
9 Bi 0.0000 0.0000 0.0000  9 Nd 3.27-3.52

=====

Here is FeHg2Pt after structural relaxation from Alexandria via LeMat-Bulk. Energies are from PBE-GGA.

Summary:
total magnetization = 0.6774 μB/atom
mass density = 15.234 g cm⁻³
calculated total energy = -3.45 eV per atom
E_form = 0.330 eV/atom

Cell: 4.8857 4.8857 2.9778 Å, 90.00 90.00 90.00°
Closest atoms and distances in Å follow each position.
Element x y z (fractional)
1 Fe 0.0000 0.0000 0.0000  8 Hg 2.86, 2 Fe 2.98
2 Hg 0.0000 0.5000 0.5000  4 Fe 2.86, 4 Pt 2.86, 2 Hg 2.98
3 Hg 0.5000 0.0000 0.5000  4 Fe 2.86, 4 Pt 2.86, 2 Hg 2.98
4 Pt 0.5000 0.5000 0.0000  8 Hg 2.86, 2 Pt 2.98

=====

Here is Gd3LuH after structural relaxation from Alexandria via LeMat-Bulk. Energies are from PBE-GGA.

Summary:
total magnetization = 4.3617 μB/atom
mass density = 8.615 g cm⁻³
calculated total energy = -10.18 eV per atom

Cell: 4.9980 4.9980 4.9980 Å, 90.00 90.00 90.00°
Closest atoms and distances in Å follow each position.
Element x y z (fractional)
1 Gd 0.0000 0.0000 0.5000  2 H 2.50
2 Gd 0.0000 0.5000 0.0000  2 H 2.50
3 Gd 0.5000 0.0000 0.0000  2 H 2.50
4 Lu 0.5000 0.5000 0.5000  12 Gd 3.53
5 H 0.0000 0.0000 0.0000  6 Gd 2.50

=====

Here is NdEuMgSc after structural relaxation from Alexandria via LeMat-Bulk. Energies are from PBE-GGA.

Summary:
total magnetization = 1.7711 μB/atom
mass density = 5.008 g cm⁻³
calculated total energy = -5.67 eV per atom
E_form = 0.071 eV/atom

Cell: 7.8555 7.8555 7.8555 Å, 90.00 90.00 90.00°
Closest atoms and distances in Å follow each position.
Element x y z (fractional)
1 Nd 0.0000 0.0000 0.0000  4 Sc 3.40, 4 Mg 3.40
2 Nd 0.0000 0.5000 0.5000  4 Sc 3.40, 4 Mg 3.40
3 Nd 0.5000 0.0000 0.5000  4 Sc 3.40, 4 Mg 3.40
4 Nd 0.5000 0.5000 0.0000  4 Sc 3.40, 4 Mg 3.40
5 Eu 0.0000 0.0000 0.5000  4 Mg 3.40, 4 Sc 3.40
6 Eu 0.0000 0.5000 0.0000  4 Mg 3.40, 4 Sc 3.40
7 Eu 0.5000 0.0000 0.0000  4 Mg 3.40, 4 Sc 3.40
8 Eu 0.5000 0.5000 0.5000  4 Mg 3.40, 4 Sc 3.40
9 Mg 0.2500 0.2500 0.7500  4 Nd 3.40, 4 Eu 3.40
10 Mg 0.2500 0.7500 0.2500  4 Nd 3.40, 4 Eu 3.40
11 Mg 0.7500 0.2500 0.2500  4 Nd 3.40, 4 Eu 3.40
12 Mg 0.7500 0.7500 0.7500  4 Nd 3.40, 4 Eu 3.40
13 Sc 0.2500 0.2500 0.2500  4 Nd 3.40, 4 Eu 3.40
14 Sc 0.2500 0.7500 0.7500  4 Nd 3.40, 4 Eu 3.40
15 Sc 0.7500 0.2500 0.7500  4 Nd 3.40, 4 Eu 3.40
16 Sc 0.7500 0.7500 0.2500  4 Nd 3.40, 4 Eu 3.40

=====

Here is Mg2Cu2Hg after structural relaxation from Alexandria via LeMat-Bulk. Energies are from PBE-GGA.

Summary:
total magnetization = 0.0000 μB/atom
mass density = 6.954 g cm⁻³
relative energy among the computed polymorphs = 146 meV per atom
calculated total energy = -2.29 eV per atom
E_form = 0.045 eV/atom

Cell: 7.5550 7.5550 3.1487 Å, 90.00 90.00 90.00°
Closest atoms and distances in Å follow each position.
Element x y z (fractional)
1 Mg 0.1598 0.3402 0.0000  6 Cu 2.69-2.77, 2 Hg 2.84
2 Mg 0.3402 0.8402 0.0000  6 Cu 2.69-2.77, 2 Hg 2.84
3 Mg 0.6598 0.1598 0.0000  6 Cu 2.69-2.77, 2 Hg 2.84
4 Mg 0.8402 0.6598 0.0000  6 Cu 2.69-2.77, 2 Hg 2.84
5 Cu 0.1271 0.6271 0.5000  6 Mg 2.69-2.77, 1 Cu 2.72
6 Cu 0.3729 0.1271 0.5000  6 Mg 2.69-2.77, 1 Cu 2.72
7 Cu 0.6271 0.8729 0.5000  6 Mg 2.69-2.77, 1 Cu 2.72
8 Cu 0.8729 0.3729 0.5000  6 Mg 2.69-2.77, 1 Cu 2.72
9 Hg 0.0000 0.0000 0.0000  4 Mg 2.84, 2 Hg 3.15
10 Hg 0.5000 0.5000 0.0000  4 Mg 2.84, 2 Hg 3.15

=====

Here is Hf2PN after structural relaxation from Alexandria via LeMat-Bulk. Energies are from PBE-GGA.

Summary:
total magnetization = 0.0000 μB/atom
mass density = 11.570 g cm⁻³
relative energy among the computed polymorphs = 875 meV per atom
calculated total energy = -8.90 eV per atom
energy relative to the elements, uncorrected = -491 meV per atom

Cell: 6.1337 6.1337 6.1337 Å, 90.00 90.00 90.00°
Closest atoms and distances in Å follow each position.
Element x y z (fractional)
1 Hf 0.2500 0.2500 0.2500  4 P 2.66, 4 N 2.66
2 Hf 0.2500 0.2500 0.7500  4 P 2.66, 4 N 2.66
3 Hf 0.2500 0.7500 0.2500  4 P 2.66, 4 N 2.66
4 Hf 0.2500 0.7500 0.7500  4 P 2.66, 4 N 2.66
5 Hf 0.7500 0.2500 0.2500  4 P 2.66, 4 N 2.66
6 Hf 0.7500 0.2500 0.7500  4 P 2.66, 4 N 2.66
7 Hf 0.7500 0.7500 0.2500  4 P 2.66, 4 N 2.66
8 Hf 0.7500 0.7500 0.7500  4 P 2.66, 4 N 2.66
9 P 0.0000 0.0000 0.0000  8 Hf 2.66
10 P 0.0000 0.5000 0.5000  8 Hf 2.66
11 P 0.5000 0.0000 0.5000  8 Hf 2.66
12 P 0.5000 0.5000 0.0000  8 Hf 2.66
13 N 0.0000 0.0000 0.5000  8 Hf 2.66
14 N 0.0000 0.5000 0.0000  8 Hf 2.66
15 N 0.5000 0.0000 0.0000  8 Hf 2.66
16 N 0.5000 0.5000 0.5000  8 Hf 2.66

=====

Here is V2HS3 after structural relaxation from Alexandria via LeMat-Bulk. Energies are from PBE-GGA.

Summary:
total magnetization = 0.2513 μB/atom
mass density = 3.356 g cm⁻³
calculated total energy = -6.30 eV per atom

Cell: 7.9936 7.9936 9.5089 Å, 123.21 123.21 23.02°
Closest atoms and distances in Å follow each position.
Element x y z (fractional)
1 V 0.0659 0.0659 0.4579  2 H 1.82-1.83
2 V 0.3592 0.3592 0.1957  2 H 1.99
3 V 0.6408 0.6408 0.8043  2 H 1.99
4 V 0.9341 0.9341 0.5421  2 H 1.82-1.83
5 H 0.0738 0.0738 0.6573  4 V 1.82-1.99
6 H 0.9262 0.9262 0.3427  4 V 1.82-1.99
7 S 0.1704 0.1704 0.0063  3 V 2.34-2.46
8 S 0.3057 0.3057 0.3848  3 V 2.34-2.37
9 S 0.4715 0.4715 0.7482  3 V 2.33-2.40
10 S 0.5285 0.5285 0.2518  3 V 2.33-2.40
11 S 0.6943 0.6943 0.6152  3 V 2.34-2.37
12 S 0.8296 0.8296 0.9937  3 V 2.34-2.46

=====

Here is Sc7Cd3 after structural relaxation from Alexandria via LeMat-Bulk. Energies are from PBE-GGA.

Summary:
total magnetization = 0.2773 μB/atom
mass density = 4.461 g cm⁻³
relative energy among the computed polymorphs = 110 meV per atom
calculated total energy = -4.75 eV per atom
E_form = -0.045 eV/atom

Cell: 9.3935 9.3935 6.3519 Å, 90.00 90.00 120.00°
Closest atoms and distances in Å follow each position.
Element x y z (fractional)
1 Sc 0.0564 0.5282 0.0000  4 Cd 2.89-3.05, 1 Sc 3.20
2 Sc 0.1260 0.2521 0.7462  3 Cd 2.98-3.12
3 Sc 0.1260 0.8740 0.7462  3 Cd 2.98-3.12
4 Sc 0.2521 0.1260 0.2462  3 Cd 2.98-3.12
5 Sc 0.3333 0.6667 0.6420  3 Cd 2.96, 6 Sc 3.20-3.30
6 Sc 0.4718 0.5282 0.0000  4 Cd 2.89-3.05, 1 Sc 3.20
7 Sc 0.4718 0.9436 0.0000  4 Cd 2.89-3.05, 1 Sc 3.20
8 Sc 0.5282 0.0564 0.5000  4 Cd 2.89-3.05, 1 Sc 3.20
9 Sc 0.5282 0.4718 0.5000  4 Cd 2.89-3.05, 1 Sc 3.20
10 Sc 0.6667 0.3333 0.1420  3 Cd 2.96, 6 Sc 3.20-3.30
11 Sc 0.7479 0.8740 0.7462  3 Cd 2.98-3.12
12 Sc 0.8740 0.1260 0.2462  3 Cd 2.98-3.12
13 Sc 0.8740 0.7479 0.2462  3 Cd 2.98-3.12
14 Sc 0.9436 0.4718 0.5000  4 Cd 2.89-3.05, 1 Sc 3.20
15 Cd 0.2082 0.4164 0.3029  8 Sc 2.89-3.12
16 Cd 0.2082 0.7918 0.3029  8 Sc 2.89-3.12
17 Cd 0.4164 0.2082 0.8029  8 Sc 2.89-3.12
18 Cd 0.5836 0.7918 0.3029  8 Sc 2.89-3.12
19 Cd 0.7918 0.2082 0.8029  8 Sc 2.89-3.12
20 Cd 0.7918 0.5836 0.8029  8 Sc 2.89-3.12